Entry from Alexandria: crystalline LaNi2Sb at its relaxed geometry (PBE).

Structure (extended XYZ):
```
8
Lattice="0.960 2.121 -3.591 1.399 -5.838 -3.075 -5.992 -1.476 0.077" Properties=species:S:1:pos:R:3 pbc="T T T"
La -0.543 -1.527 -1.047
La -3.091 -3.666 -5.541
Ni -2.012 -1.701 -4.092
Ni -1.622 -3.492 -2.497
Ni -2.524 0.435 -2.967
Ni -1.110 -5.628 -3.622
Sb 0.047 -3.429 -4.564
Sb -3.681 -1.764 -2.025
```

Crystal system   orthorhombic
Symmetry   Cmcm (63)
Total energy   -5.6447 eV per atom